Entry 1:
This record from Alexandria describes a relaxed NaZnIn2 crystal. The functional is GGA-PBE.

Cell lengths 5.545, 4.621, 8.195 Å; angles 90.00, 100.90, 90.00 degrees
Space group P2_1/m (No. 11)
One atom of each set of equivalent atoms:
Na 0.023 0.250 0.168 x2
Zn 0.147 0.250 0.568 x2
In 0.338 0.750 0.416 x2
In 0.446 0.250 0.892 x2

Output
Final energy (eV for the cell shown): -16.38
Fermi-level density of states (states/eV/cell): 2.68
Formation energy from the elements (kJ/mol of atoms): -3

---

Entry 2:
This record from Alexandria describes a relaxed ReOs2W crystal. The functional is GGA-PBE.

Cell lengths 9.155, 2.769, 4.805 Å; angles 90.00, 100.06, 90.00 degrees
Space group C2/m (No. 12)
One atom of each set of equivalent atoms:
Re 0.000 0.000 0.000 x2
Os 0.248 0.500 0.238 x4
W 0.000 0.500 0.500 x2

Output
Final energy (eV for the cell shown): -95.01
Offset from the most stable computed form (meV/atom): 101
Fermi-level density of states (states/eV/cell): 5.27
Formation energy from the elements (kJ/mol of atoms): 9

---

Entry 3:
This record from Alexandria describes a relaxed Ca2Sn3Rh4 crystal. The functional is GGA-PBE.

Cell lengths 6.101, 15.948, 7.444 Å; angles 90.00, 90.00, 90.00 degrees
Space group Cmce (No. 64)
One atom of each set of equivalent atoms:
Ca 0.000 0.101 0.082 x8
Sn 0.000 0.000 0.500 x4
Sn 0.250 0.234 0.750 x8
Rh 0.000 0.173 0.476 x8
Rh 0.250 0.068 0.750 x8

Output
Final energy (eV for the cell shown): -204.08
Fermi-level density of states (states/eV/cell): 17.79
Formation energy from the elements (kJ/mol of atoms): -60

---

Entry 4:
This record from Alexandria describes a relaxed Ce2TaNbN6 crystal. The functional is GGA-PBE.

Cell lengths 5.619, 5.748, 9.766 Å; angles 90.00, 125.14, 90.00 degrees
Space group P2_1/c (No. 14)
One atom of each set of equivalent atoms:
Ce 0.242 0.049 0.250 x4
Ta 0.000 0.000 0.500 x2
Nb 0.500 0.000 0.000 x2
N 0.141 0.197 0.946 x4
N 0.248 0.695 0.945 x4
N 0.353 0.033 0.749 x4

Output
Final energy (eV for the cell shown): -192.12
Fermi-level density of states (states/eV/cell): 0.05
Formation energy without anion corrections (eV/atom): -1.2318

---

Entry 5:
This record from Alexandria describes a relaxed YScCl4 crystal. The functional is GGA-PBE.

Cell lengths 15.782, 5.325, 8.039 Å; angles 90.00, 107.67, 90.00 degrees
Space group C2/m (No. 12)
One atom of each set of equivalent atoms:
Y 0.221 0.000 0.334 x4
Sc 0.112 0.000 0.658 x4
Cl 0.048 0.000 0.325 x4
Cl 0.107 0.500 0.660 x4
Cl 0.163 0.000 0.986 x4
Cl 0.210 0.500 0.303 x4

Output
Final energy (eV for the cell shown): -124.87
Offset from the most stable computed form (meV/atom): 0
Fermi-level density of states (states/eV/cell): 9.53
Formation energy without anion corrections (eV/atom): -1.8392

---

Entry 6:
This record from Alexandria describes a relaxed PmPrGaHg crystal. The functional is GGA-PBE.

Cell lengths 3.687, 3.687, 7.862 Å; angles 90.00, 90.00, 90.00 degrees
Space group P4mm (No. 99)
One atom of each set of equivalent atoms:
Pm 0.000 0.000 0.000 x1
Pr 0.000 0.000 0.470 x1
Ga 0.500 0.500 0.230 x1
Hg 0.500 0.500 0.744 x1

Output
Final energy (eV for the cell shown): -14.93
Offset from the most stable computed form (meV/atom): 0
Fermi-level density of states (states/eV/cell): 3.08
Formation energy from the elements (kJ/mol of atoms): -50

---

Entry 7:
This record from Alexandria describes a relaxed YCr2CdRh crystal. The functional is GGA-PBE.

Cell lengths 4.801, 4.801, 5.360 Å; angles 90.00, 90.00, 90.00 degrees
Space group P4/mmm (No. 123)
One atom of each set of equivalent atoms:
Y 0.000 0.000 0.000 x1
Cr 0.000 0.500 0.000 x2
Cd 0.000 0.000 0.500 x1
Rh 0.500 0.500 0.500 x1

Output
Final energy (eV for the cell shown): -23.95
Fermi-level density of states (states/eV/cell): 4.14
Formation energy from the elements (kJ/mol of atoms): 193

---

Entry 8:
This record from Alexandria describes a relaxed PmHfMg4 crystal. The functional is GGA-PBE.

Cell lengths 8.347, 8.347, 8.347 Å; angles 90.00, 90.00, 90.00 degrees
Space group F-43m (No. 216)
One atom of each set of equivalent atoms:
Pm 0.000 0.000 0.000 x4
Hf 0.250 0.250 0.750 x4
Mg 0.124 0.124 0.376 x16

Output
Final energy (eV for the cell shown): -81.64
Fermi-level density of states (states/eV/cell): 30.71
Formation energy from the elements (kJ/mol of atoms): 11

---

Entry 9:
This record from Alexandria describes a relaxed Ho4AgRu crystal. The functional is GGA-PBE.

Cell lengths 13.422, 13.422, 13.422 Å; angles 90.00, 90.00, 90.00 degrees
Space group F-43m (No. 216)
One atom of each set of equivalent atoms:
Ho 0.000 0.000 0.189 x24
Ho 0.061 0.250 0.250 x24
Ho 0.151 0.151 0.651 x16
Ag 0.082 0.082 0.418 x16
Ru 0.140 0.140 0.860 x16

Output
Final energy (eV for the cell shown): -517.51
Offset from the most stable computed form (meV/atom): 0
Fermi-level density of states (states/eV/cell): 119.86
Formation energy from the elements (kJ/mol of atoms): -31

---

Entry 10:
This record from Alexandria describes a relaxed Ti6Ga2Sn crystal. The functional is GGA-PBE.

Cell lengths 8.103, 8.187, 9.581 Å; angles 90.00, 90.00, 90.00 degrees
Space group Immm (No. 71)
One atom of each set of equivalent atoms:
Ti 0.000 0.216 0.179 x8
Ti 0.201 0.500 0.248 x8
Ti 0.209 0.202 0.500 x8
Ga 0.000 0.000 0.372 x4
Ga 0.155 0.000 0.000 x4
Sn 0.000 0.500 0.000 x2
Sn 0.000 0.500 0.500 x2

Output
Final energy (eV for the cell shown): -239.09
Fermi-level density of states (states/eV/cell): 44.25
Formation energy from the elements (kJ/mol of atoms): -25

---

Entry 11:
This record from Alexandria describes a relaxed RbBaP2Cl crystal. The functional is GGA-PBE.

Cell lengths 6.335, 6.335, 6.003 Å; angles 90.00, 90.00, 90.00 degrees
Space group P4/mmm (No. 123)
One atom of each set of equivalent atoms:
Rb 0.000 0.000 0.000 x1
Ba 0.500 0.500 0.500 x1
P 0.000 0.500 0.500 x2
Cl 0.500 0.500 0.000 x1

Output
Final energy (eV for the cell shown): -16.44
Offset from the most stable computed form (meV/atom): 0
Fermi-level density of states (states/eV/cell): 2.17
Formation energy without anion corrections (eV/atom): -0.1766

---

Entry 12:
This record from Alexandria describes a relaxed SmMg5Ag2 crystal. The functional is GGA-PBE.

Cell lengths 4.327, 8.290, 10.355 Å; angles 90.00, 90.00, 90.00 degrees
Space group Immm (No. 71)
One atom of each set of equivalent atoms:
Sm 0.000 0.000 0.000 x2
Mg 0.000 0.187 0.346 x8
Mg 0.000 0.500 0.000 x2
Ag 0.000 0.500 0.267 x4

Output
Final energy (eV for the cell shown): -39.22
Fermi-level density of states (states/eV/cell): 10.54
Formation energy from the elements (kJ/mol of atoms): -15

---

Entry 13:
This record from Alexandria describes a relaxed AgPb3 crystal. The functional is GGA-PBE.

Cell lengths 3.506, 4.368, 7.293 Å; angles 90.00, 90.00, 90.00 degrees
Space group Pmmm (No. 47)
One atom of each set of equivalent atoms:
Ag 0.000 0.000 0.000 x1
Pb 0.000 0.000 0.500 x1
Pb 0.500 0.500 0.225 x2

Output
Final energy (eV for the cell shown): -13.67
Fermi-level density of states (states/eV/cell): 1.86
Formation energy from the elements (kJ/mol of atoms): 7

---

Entry 14:
This record from Alexandria describes a relaxed AsOsPt crystal. The functional is GGA-PBE.

Cell lengths 2.871, 2.871, 11.855 Å; angles 90.00, 90.00, 90.00 degrees
Space group I4mm (No. 107)
One atom of each set of equivalent atoms:
As 0.000 0.000 0.000 x2
Os 0.000 0.000 0.637 x2
Pt 0.000 0.000 0.295 x2

Output
Final energy (eV for the cell shown): -41.94
Offset from the most stable computed form (meV/atom): 131
Fermi-level density of states (states/eV/cell): 4.71
Formation energy from the elements (kJ/mol of atoms): 31

---

Entry 15:
This record from Alexandria describes a relaxed KLi3Re crystal. The functional is GGA-PBE.

Cell lengths 4.420, 4.420, 4.420 Å; angles 90.00, 90.00, 90.00 degrees
Space group Pm-3m (No. 221)
One atom of each set of equivalent atoms:
K 0.000 0.000 0.000 x1
Li 0.000 0.000 0.500 x3
Re 0.500 0.500 0.500 x1

Output
Final energy (eV for the cell shown): -11.21
Offset from the most stable computed form (meV/atom): 513
Fermi-level density of states (states/eV/cell): 4.30
Formation energy from the elements (kJ/mol of atoms): 156

---

Entry 16:
This record from Alexandria describes a relaxed LiAg2Te2 crystal. The functional is GGA-PBE.

Cell lengths 7.990, 7.990, 3.818 Å; angles 90.00, 90.00, 90.00 degrees
Space group P4/mbm (No. 127)
One atom of each set of equivalent atoms:
Li 0.000 0.000 0.000 x2
Ag 0.126 0.374 0.500 x4
Te 0.180 0.680 0.000 x4

Output
Final energy (eV for the cell shown): -29.60
Offset from the most stable computed form (meV/atom): 103
Fermi-level density of states (states/eV/cell): 4.83
Formation energy without anion corrections (eV/atom): -0.1802

---

Entry 17:
This record from Alexandria describes a relaxed TlRe3Ag crystal. The functional is GGA-PBE.

Cell lengths 4.831, 4.831, 4.831 Å; angles 90.00, 90.00, 90.00 degrees
Space group Pm-3m (No. 221)
One atom of each set of equivalent atoms:
Tl 0.000 0.000 0.000 x1
Re 0.000 0.500 0.500 x3
Ag 0.500 0.500 0.500 x1

Output
Final energy (eV for the cell shown): -27.74
Offset from the most stable computed form (meV/atom): 0
Fermi-level density of states (states/eV/cell): 6.17
Formation energy from the elements (kJ/mol of atoms): 286